# PBE Li3DyAs2, relaxed
data_Li3DyAs2
_space_group_name_H-M_alt 'C 1 2/m 1'
_space_group_IT_number 12
_space_group_name_Hall '-C 2y'
_cell_length_a 16.263
_cell_length_b 4.018
_cell_length_c 10.105
_cell_angle_alpha 90.00
_cell_angle_beta 101.15
_cell_angle_gamma 90.00
loop_
_atom_site_label
_atom_site_type_symbol
_atom_site_fract_x
_atom_site_fract_y
_atom_site_fract_z
_atom_site_occupancy
Li1 Li 0.000 0.000 0.000 1
Li2 Li 0.049 0.500 0.840 1
Li3 Li 0.123 0.000 0.732 1
Li4 Li 0.183 0.000 0.491 1
Li5 Li 0.209 0.500 0.908 1
Dy1 Dy 0.000 0.500 0.500 1
Dy2 Dy 0.166 0.500 0.219 1
As1 As 0.045 0.000 0.311 1
As2 As 0.142 0.000 0.997 1
As3 As 0.195 0.500 0.651 1
# * DFT formation energy: -896 meV per atom
# * energy: -150.094 eV/cell

=====

# PBE Tm3MgAl, relaxed
data_Tm3MgAl
_space_group_name_H-M_alt 'C m c m'
_space_group_IT_number 63
_space_group_name_Hall '-C 2c 2'
_cell_length_a 5.055
_cell_length_b 20.010
_cell_length_c 5.051
_cell_angle_alpha 90.00
_cell_angle_beta 90.00
_cell_angle_gamma 90.00
loop_
_atom_site_label
_atom_site_type_symbol
_atom_site_fract_x
_atom_site_fract_y
_atom_site_fract_z
_atom_site_occupancy
Tm1 Tm 0.000 0.061 0.250 1
Tm2 Tm 0.000 0.250 0.250 1
Tm3 Tm 0.000 0.438 0.250 1
Mg1 Mg 0.000 0.156 0.750 1
Al1 Al 0.000 0.341 0.750 1
# * DFT formation energy: -193 meV per atom
# * energy: -78.872 eV/cell
# * excess energy over the best structure of this formula in the dataset: 0.0000 eV per atom

=====

# PBE SiTc2Te, relaxed
data_SiTc2Te
_space_group_name_H-M_alt 'R 3 m'
_space_group_IT_number 160
_space_group_name_Hall 'R 3 -2"'
_cell_length_a 3.1484
_cell_length_b 3.1484
_cell_length_c 24.0971
_cell_angle_alpha 90.00
_cell_angle_beta 90.00
_cell_angle_gamma 120.00
loop_
_atom_site_label
_atom_site_type_symbol
_atom_site_fract_x
_atom_site_fract_y
_atom_site_fract_z
_atom_site_occupancy
Si1 Si 0.0000 0.0000 0.0000 1
Tc1 Tc 0.0000 0.0000 0.2671 1
Tc2 Tc 0.0000 0.0000 0.5131 1
Te1 Te 0.0000 0.0000 0.7657 1
# * energy: -84.109 eV/cell
# * excess energy over the best structure of this formula in the dataset: 0.3199 eV per atom

=====

# PBE VCuPdRh2, relaxed
data_VCuPdRh2
_space_group_name_H-M_alt 'P 4/m m m'
_space_group_IT_number 123
_space_group_name_Hall '-P 4 2'
_cell_length_a 4.740
_cell_length_b 4.740
_cell_length_c 4.491
_cell_angle_alpha 90.00
_cell_angle_beta 90.00
_cell_angle_gamma 90.00
loop_
_atom_site_label
_atom_site_type_symbol
_atom_site_fract_x
_atom_site_fract_y
_atom_site_fract_z
_atom_site_occupancy
V1 V 0.000 0.000 0.000 1
Cu1 Cu 0.500 0.500 0.000 1
Pd1 Pd 0.500 0.500 0.500 1
Rh1 Rh 0.000 0.500 0.500 1
# * DFT formation energy: 1618 meV per atom
# * energy: -25.019 eV/cell

=====

# PBE Th3FePd12, relaxed
data_Th3FePd12
_space_group_name_H-M_alt 'P 4/m m m'
_space_group_IT_number 123
_space_group_name_Hall '-P 4 2'
_cell_length_a 4.175
_cell_length_b 4.175
_cell_length_c 16.320
_cell_angle_alpha 90.00
_cell_angle_beta 90.00
_cell_angle_gamma 90.00
loop_
_atom_site_label
_atom_site_type_symbol
_atom_site_fract_x
_atom_site_fract_y
_atom_site_fract_z
_atom_site_occupancy
Th1 Th 0.000 0.000 0.000 1
Th2 Th 0.000 0.000 0.264 1
Fe1 Fe 0.000 0.000 0.500 1
Pd1 Pd 0.000 0.500 0.129 1
Pd2 Pd 0.000 0.500 0.388 1
Pd3 Pd 0.500 0.500 0.000 1
Pd4 Pd 0.500 0.500 0.257 1
Pd5 Pd 0.500 0.500 0.500 1
# * DFT formation energy: -729 meV per atom
# * energy: -104.704 eV/cell

=====

# PBE La2GaReN, relaxed
data_La2GaReN
_space_group_name_H-M_alt 'P 4/m m m'
_space_group_IT_number 123
_space_group_name_Hall '-P 4 2'
_cell_length_a 5.286
_cell_length_b 5.286
_cell_length_c 3.902
_cell_angle_alpha 90.00
_cell_angle_beta 90.00
_cell_angle_gamma 90.00
loop_
_atom_site_label
_atom_site_type_symbol
_atom_site_fract_x
_atom_site_fract_y
_atom_site_fract_z
_atom_site_occupancy
La1 La 0.000 0.500 0.000 1
Ga1 Ga 0.000 0.000 0.500 1
Re1 Re 0.500 0.500 0.500 1
N1 N 0.500 0.500 0.000 1
# * energy: -36.641 eV/cell